Below is a relaxed structure of CsLaSe3, with properties calculated at the PBE level.

```
CsLaSe3
1.0
5.678 0.000 0.000
0.000 5.678 0.000
0.000 0.000 5.678
Cs La Se
1 1 3
direct
0.000 0.000 0.000
0.500 0.500 0.500
0.000 0.000 0.500
0.000 0.500 0.000
0.500 0.000 0.000
```

Values from the calculation:
- SG = Pm-3m (221)
- calculated volume (Å³ per atom) = 36.62
- M_tot (μB per formula unit) = 0.0
- total DFT energy (no corrections) (eV per atom) = -3.1502
- ΔE_f (raw) (eV/atom) = 0.10
- theoretical density (g cm⁻³) = 4.613